# Sc2BiPt2

An optimized crystal structure of Sc2BiPt2 (PBE, Alexandria via LeMat-Bulk).

Results
E_form: -819 meV/atom
polymorph energy (0 for the lowest one): 0.190 eV/atom
symmetry: No. 127

Geometry as CIF:
```
data_Sc2BiPt2
_chemical_formula_sum 'Sc4 Bi2 Pt4'
_space_group_name_H-M_alt 'P 1'
_space_group_IT_number 1
_cell_length_a 7.916
_cell_length_b 7.916
_cell_length_c 3.330
_cell_angle_alpha 90.00
_cell_angle_beta 90.00
_cell_angle_gamma 90.00
loop_
_space_group_symop_operation_xyz
'x,y,z'
loop_
_atom_site_label
_atom_site_type_symbol
_atom_site_fract_x
_atom_site_fract_y
_atom_site_fract_z
_atom_site_occupancy
Sc1 Sc 0.350 0.850 0.000 1
Sc2 Sc 0.850 0.650 0.000 1
Sc3 Sc 0.650 0.150 0.000 1
Sc4 Sc 0.150 0.350 0.000 1
Bi1 Bi 0.000 0.000 0.000 1
Bi2 Bi 0.500 0.500 0.000 1
Pt1 Pt 0.131 0.631 0.500 1
Pt2 Pt 0.631 0.869 0.500 1
Pt3 Pt 0.869 0.369 0.500 1
Pt4 Pt 0.369 0.131 0.500 1
```